No. 1
This record from Alexandria via LeMat-Bulk describes crystalline YMnAl2 at its relaxed geometry. The functional is PBE. Values from VASP.

```
&SYSTEM
  ibrav = 0, nat = 4, ntyp = 3
/
ATOMIC_SPECIES
Y 88.91 Y.upf
Mn 54.94 Mn.upf
Al 26.98 Al.upf
CELL_PARAMETERS angstrom
-3.175 -0.101 -0.548
0.557 -0.514 -3.135
0.023 -7.020 1.155
ATOMIC_POSITIONS crystal
Y 0.500 0.500 0.731
Mn 0.000 0.000 0.448
Al 0.000 0.000 0.049
Al 0.500 0.500 0.273
```

Results
Formation enthalpy at 0 K   -0.094 eV per atom
Theoretical density   4.44 g/cm3
Calculated volume   74 Å³/f.u.

=====

No. 2
This record from Alexandria via LeMat-Bulk describes crystalline RbNa2CdHg at its relaxed geometry. The functional is PBE. Values from VASP.

```
&SYSTEM
  ibrav = 0, nat = 5, ntyp = 4
/
ATOMIC_SPECIES
Na 22.99 Na.upf
Hg 200.59 Hg.upf
Rb 85.47 Rb.upf
Cd 112.41 Cd.upf
CELL_PARAMETERS angstrom
-5.107 -2.869 1.278
2.690 -5.255 -1.047
1.485 -0.292 5.279
ATOMIC_POSITIONS crystal
Na 0.000 0.500 0.000
Na 0.500 0.000 0.000
Hg 0.000 0.000 0.000
Rb 0.500 0.500 0.500
Cd 0.000 0.000 0.500
```

Results
Formation enthalpy at 0 K   -0.041 eV per atom
Theoretical density   3.74 g/cm3
Calculated volume   197 Å³/f.u.
Offset from the most stable computed form   0.000 eV/atom

=====

No. 3
This record from Alexandria via LeMat-Bulk describes crystalline Rb2MnV at its relaxed geometry. The functional is PBE. Values from VASP.

```
&SYSTEM
  ibrav = 0, nat = 4, ntyp = 3
/
ATOMIC_SPECIES
Mn 54.94 Mn.upf
Rb 85.47 Rb.upf
V 50.94 V.upf
CELL_PARAMETERS angstrom
4.150 -4.245 -1.887
-1.927 -5.613 -1.892
0.353 -1.547 -6.023
ATOMIC_POSITIONS crystal
Mn 0.500 0.500 0.500
Rb 0.250 0.250 0.250
Rb 0.750 0.750 0.750
V 0.000 0.000 0.000
```

Results
Formation enthalpy at 0 K   1.531 eV per atom
Theoretical density   2.69 g/cm3
Calculated volume   171 Å³/f.u.
Offset from the most stable computed form   0.446 eV/atom

=====

No. 4
This record from Alexandria via LeMat-Bulk describes crystalline Ac3Ag3AuO8 at its relaxed geometry. The functional is PBE. Values from VASP.

```
&SYSTEM
  ibrav = 0, nat = 15, ntyp = 4
/
ATOMIC_SPECIES
Ac 227.00 Ac.upf
Ag 107.87 Ag.upf
Au 196.97 Au.upf
O 16.00 O.upf
CELL_PARAMETERS angstrom
7.746 0.000 0.000
-3.873 6.257 -1.905
0.000 -5.606 8.245
ATOMIC_POSITIONS crystal
Ac 0.500 0.000 0.500
Ac 0.500 0.500 0.500
Ac 0.000 0.500 0.500
Ag 0.000 0.000 0.000
Ag 0.000 0.500 0.000
Ag 0.500 0.500 0.000
Au 0.000 0.000 0.500
O 0.229 0.457 0.324
O 0.771 0.543 0.676
O 0.773 0.545 0.361
O 0.227 0.455 0.639
O 0.735 0.939 0.323
O 0.265 0.061 0.677
O 0.204 0.939 0.323
O 0.796 0.061 0.677
```

Results
DFT total energy   -87.07 eV for the cell shown
Theoretical density   6.97 g/cm3
Calculated volume   317 Å³/f.u.

=====

No. 5
This record from Alexandria via LeMat-Bulk describes crystalline NaPuRh2 at its relaxed geometry. The functional is PBE. Values from VASP.

```
&SYSTEM
  ibrav = 0, nat = 4, ntyp = 3
/
ATOMIC_SPECIES
Na 22.99 Na.upf
Rh 102.91 Rh.upf
Pu 244.00 Pu.upf
CELL_PARAMETERS angstrom
3.682 0.000 0.000
0.000 4.413 0.000
0.000 0.000 4.413
ATOMIC_POSITIONS crystal
Na 0.500 0.500 0.500
Rh 0.000 0.000 0.500
Rh 0.000 0.500 0.000
Pu 0.500 0.000 0.000
```

Results
Formation enthalpy at 0 K   -0.091 eV per atom
Theoretical density   10.95 g/cm3
Calculated volume   72 Å³/f.u.

=====

No. 6
This record from Alexandria via LeMat-Bulk describes crystalline Cr2FeCuN at its relaxed geometry. The functional is PBE. Values from VASP.

```
&SYSTEM
  ibrav = 0, nat = 5, ntyp = 4
/
ATOMIC_SPECIES
Cr 52.00 Cr.upf
Fe 55.84 Fe.upf
Cu 63.55 Cu.upf
N 14.01 N.upf
CELL_PARAMETERS angstrom
-3.624 1.059 0.236
-0.993 -2.906 -2.209
-0.437 -2.176 3.058
ATOMIC_POSITIONS crystal
Cr 0.000 0.500 0.000
Cr 0.500 0.000 0.000
Fe 0.000 0.000 0.500
Cu 0.500 0.500 0.500
N 0.000 0.000 0.000
```

Results
DFT total energy   -40.41 eV for the cell shown
Theoretical density   7.29 g/cm3
Calculated volume   54 Å³/f.u.

=====

No. 7
This record from Alexandria via LeMat-Bulk describes crystalline MnCr2GeN at its relaxed geometry. The functional is PBE. Values from VASP.

```
&SYSTEM
  ibrav = 0, nat = 5, ntyp = 4
/
ATOMIC_SPECIES
Cr 52.00 Cr.upf
Ge 72.64 Ge.upf
Mn 54.94 Mn.upf
N 14.01 N.upf
CELL_PARAMETERS angstrom
3.857 0.000 0.000
0.000 3.857 0.000
0.000 0.000 3.831
ATOMIC_POSITIONS crystal
Cr 0.000 0.500 0.000
Cr 0.500 0.000 0.000
Ge 0.500 0.500 0.500
Mn 0.000 0.000 0.500
N 0.000 0.000 0.000
```

Results
DFT total energy   -42.63 eV for the cell shown
Theoretical density   7.15 g/cm3
Calculated volume   57 Å³/f.u.

=====

No. 8
This record from Alexandria via LeMat-Bulk describes crystalline ZrTiRh3 at its relaxed geometry. The functional is PBE. Values from VASP.

```
&SYSTEM
  ibrav = 0, nat = 5, ntyp = 3
/
ATOMIC_SPECIES
Rh 102.91 Rh.upf
Zr 91.22 Zr.upf
Ti 47.87 Ti.upf
CELL_PARAMETERS angstrom
4.522 0.000 0.000
0.000 4.522 0.000
0.000 0.000 4.522
ATOMIC_POSITIONS crystal
Rh 0.000 0.500 0.000
Rh 0.000 0.000 0.500
Rh 0.500 0.000 0.000
Zr 0.500 0.500 0.500
Ti 0.000 0.000 0.000
```

Results
Formation enthalpy at 0 K   0.056 eV per atom
Theoretical density   8.04 g/cm3
Calculated volume   92 Å³/f.u.
Offset from the most stable computed form   0.000 eV/atom